(1)
First-principles (PBE) data for BaOsNO after structural relaxation, as listed in the Open Quantum Materials Database.

Output
Symmetry   No. 26
E above lowest polymorph   0.0 meV per atom
Size of the total moment   0.4 μB per formula unit
Energy   -7.37 eV/atom

Unit cell a=3.768 b=5.591 c=6.391 alpha=90.00 beta=90.00 gamma=90.00
Last column: magnetic moment on the atom in μB.
Fractional positions:
Os  0.500  0.984  0.364  0.30
Os  0.500  0.484  0.636  0.29
O  0.500  0.797  0.103  0.07
O  0.500  0.297  0.897  0.06
N  0.000  0.992  0.370  -0.01
N  0.000  0.492  0.630  -0.01
Ba  0.000  0.481  0.177  0.00
Ba  0.000  0.981  0.823  0.00

***

(2)
First-principles (PBE) data for PrNd2Al3AgPd2 after structural relaxation, as listed in the Open Quantum Materials Database.

Output
Symmetry   No. 38
Size of the total moment   0.0 μB per formula unit
Energy   -4.95 eV/atom

Unit cell a=4.256 b=7.301 c=7.301 alpha=119.95 beta=90.00 gamma=90.00
Fractional positions:
Nd  0.000  0.578  0.000
Nd  0.000  0.000  0.578
Pr  0.000  0.423  0.423
Al  0.500  0.237  0.999
Al  0.500  0.999  0.237
Al  0.500  0.763  0.763
Pd  0.500  0.668  0.333
Pd  0.500  0.333  0.668
Ag  0.000  0.999  0.999

***

(3)
First-principles (PBE) data for NaCdPO4 after structural relaxation, as listed in the Open Quantum Materials Database.

Output
Symmetry   No. 63
Energy   -5.87 eV/atom

Unit cell a=5.399 b=5.399 c=6.532 alpha=90.00 beta=90.00 gamma=115.54
Fractional positions:
Na  0.500  0.500  0.000
Na  0.500  0.500  0.500
O  0.250  0.750  0.437
O  0.750  0.250  0.937
O  0.250  0.750  0.063
O  0.739  0.826  0.750
O  0.261  0.174  0.250
O  0.750  0.250  0.563
O  0.826  0.739  0.250
O  0.174  0.261  0.750
P  0.145  0.855  0.250
P  0.855  0.145  0.750
Cd  0.823  0.177  0.250
Cd  0.177  0.823  0.750

***

What is the energy in the first record?
-7.37 eV/atom

***

Which formula does entry 2 have?
PrNd2Al3AgPd2

***

Look up the energy of the second one.
-4.95 eV/atom

***

The lowest energy belongs to which entry?
BaOsNO